1 | # Th2MnIn

An optimized crystal structure of Th2MnIn (GGA-PBE, Alexandria).

Calculated values
**Crystal system**: tetragonal

Lattice parameters (Å, degrees): 4.6058 4.7579 4.7579 90.00 90.00 90.00
Closest atoms and distances in Å follow each position.
Sites, in units of the cell vectors:
Th  0.0000  0.0000  0.5000  4 Mn 3.31, 4 In 3.31, 4 Th 3.36
Th  0.0000  0.5000  0.0000  4 Mn 3.31, 4 In 3.31, 4 Th 3.36
Mn  0.5000  0.5000  0.5000  8 Th 3.31, 4 In 3.36
In  0.5000  0.0000  0.0000  8 Th 3.31, 4 Mn 3.36

***

2 | # Th2MnIn

An optimized crystal structure of Th2MnIn (GGA-PBE, Alexandria).

Calculated values
**Crystal system**: tetragonal

Lattice parameters (Å, degrees): 3.3733 3.3733 8.7823 90.00 90.00 90.00
Closest atoms and distances in Å follow each position.
Sites, in units of the cell vectors:
Mn  0.5000  0.5000  0.0000  8 Th 2.96
In  0.5000  0.5000  0.5000  4 In 3.37, 8 Th 3.56
Th  0.0000  0.0000  0.8008  4 Mn 2.96
Th  0.0000  0.0000  0.1992  4 Mn 2.96

***

Result of the stability comparison: 1 is the least stable of them.

***

1 | # TiMnIn2

An optimized crystal structure of TiMnIn2 (GGA-PBE, Alexandria).

Calculated values
**Crystal system**: tetragonal

Lattice parameters (Å, degrees): 7.5574 7.5574 6.0716 51.51 51.51 90.00
Closest atoms and distances in Å follow each position.
Sites, in units of the cell vectors:
In  0.8750  0.8918  0.7500  2 Mn 2.68, 2 Ti 2.86, 2 In 2.89
In  0.6418  0.1250  0.2500  2 Mn 2.68, 2 Ti 2.86, 2 In 2.89
In  0.3750  0.3582  0.7500  2 Mn 2.68, 2 Ti 2.86, 2 In 2.89
In  0.1082  0.6250  0.2500  2 Mn 2.68, 2 Ti 2.86, 2 In 2.89
Ti  0.2500  0.7500  0.5000  4 In 2.86, 2 Mn 2.88
Ti  0.5000  0.5000  0.0000  4 In 2.86, 2 Mn 2.88
Mn  0.7500  0.2500  0.5000  4 In 2.68, 2 Ti 2.88
Mn  0.0000  0.0000  0.0000  4 In 2.68, 2 Ti 2.88

***

2 | # TiMnIn2

An optimized crystal structure of TiMnIn2 (GGA-PBE, Alexandria).

Calculated values
**Crystal system**: tetragonal

Lattice parameters (Å, degrees): 4.1568 4.2309 4.2309 90.00 90.00 90.00
Closest atoms and distances in Å follow each position.
Sites, in units of the cell vectors:
Ti  0.5000  0.0000  0.0000  8 In 2.97, 4 Mn 2.99
In  0.0000  0.0000  0.5000  4 Mn 2.97, 4 Ti 2.97, 4 In 2.99
In  0.0000  0.5000  0.0000  4 Mn 2.97, 4 Ti 2.97, 4 In 2.99
Mn  0.5000  0.5000  0.5000  8 In 2.97, 4 Ti 2.99

***

Result of the stability comparison: 1 is the least stable of them.

***

1 | # TiMn3In

An optimized crystal structure of TiMn3In (GGA-PBE, Alexandria).

Calculated values
**Crystal system**: cubic

Lattice parameters (Å, degrees): 4.5272 4.5272 4.5272 90.00 90.00 90.00
Closest atoms and distances in Å follow each position.
Sites, in units of the cell vectors:
Mn  0.0000  0.5000  0.0000  2 Ti 2.26
Mn  0.5000  0.0000  0.0000  2 Ti 2.26
Mn  0.0000  0.0000  0.5000  2 Ti 2.26
Ti  0.0000  0.0000  0.0000  6 Mn 2.26
In  0.5000  0.5000  0.5000  12 Mn 3.20

***

2 | # TiMn3In

An optimized crystal structure of TiMn3In (GGA-PBE, Alexandria).

Calculated values
**Crystal system**: cubic

Lattice parameters (Å, degrees): 4.9033 4.9033 4.9033 90.00 90.00 90.00
Closest atoms and distances in Å follow each position.
Sites, in units of the cell vectors:
Ti  0.5000  0.5000  0.5000  12 Mn 3.47
Mn  0.0000  0.0000  0.5000  2 In 2.45
Mn  0.5000  0.0000  0.0000  2 In 2.45
Mn  0.0000  0.5000  0.0000  2 In 2.45
In  0.0000  0.0000  0.0000  6 Mn 2.45

***

Result of the stability comparison: 2 is the least stable of them.

***

1 | # MnTl2In

An optimized crystal structure of MnTl2In (GGA-PBE, Alexandria).

Calculated values
**Crystal system**: tetragonal

Lattice parameters (Å, degrees): 4.3198 4.3198 10.7424 78.40 78.40 90.00
Closest atoms and distances in Å follow each position.
Sites, in units of the cell vectors:
Tl  0.6061  0.1250  0.2500  4 Tl 2.94-3.17, 2 Mn 2.97, 2 In 3.02
Tl  0.1439  0.6250  0.2500  4 Tl 2.94-3.17, 2 Mn 2.97, 2 In 3.02
Tl  0.8750  0.8561  0.7500  4 Tl 2.94-3.17, 2 Mn 2.97, 2 In 3.02
Tl  0.3750  0.3939  0.7500  4 Tl 2.94-3.17, 2 Mn 2.97, 2 In 3.02
In  0.7500  0.2500  0.5000  4 Tl 3.02, 4 Mn 3.05
In  0.0000  0.0000  0.0000  4 Tl 3.02, 4 Mn 3.05
Mn  0.2500  0.7500  0.5000  4 Tl 2.97, 4 In 3.05
Mn  0.5000  0.5000  0.0000  4 Tl 2.97, 4 In 3.05

***

2 | # MnTl2In

An optimized crystal structure of MnTl2In (GGA-PBE, Alexandria).

Calculated values
**Crystal system**: monoclinic

Lattice parameters (Å, degrees): 7.3828 7.3828 4.8091 71.11 71.11 24.56
Closest atoms and distances in Å follow each position.
Sites, in units of the cell vectors:
In  0.4340  0.4340  0.5659  2 Mn 2.90, 2 In 3.14
Tl  0.2501  0.2501  0.2498  4 Mn 2.87, 2 Tl 3.14
Tl  0.0608  0.0608  0.9396  2 Mn 3.08, 2 Tl 3.14, 4 In 3.35
Mn  0.7551  0.7551  0.7448  6 Tl 2.87-3.08, 2 In 2.90, 2 Mn 3.14

***

3 | # MnTl2In

An optimized crystal structure of MnTl2In (GGA-PBE, Alexandria).

Calculated values
**Crystal system**: tetragonal

Lattice parameters (Å, degrees): 3.2880 3.2880 9.1665 90.00 90.00 89.96
Closest atoms and distances in Å follow each position.
Sites, in units of the cell vectors:
Tl  0.0000  0.0000  0.9507  4 Mn 3.03, 4 Tl 3.29
Tl  0.5000  0.5000  0.2591  8 Tl 3.29-3.66, 4 In 3.55
Mn  0.5000  0.5000  0.7390  4 In 2.89, 4 Tl 3.03
In  0.0000  0.0000  0.5512  4 Mn 2.89

***

Result of the stability comparison: 1 is the least stable of them.

***

1 | # MnTl2In

An optimized crystal structure of MnTl2In (GGA-PBE, Alexandria).

Calculated values
**Crystal system**: tetragonal

Lattice parameters (Å, degrees): 5.7289 5.7289 5.7289 132.78 132.78 68.99
Closest atoms and distances in Å follow each position.
Sites, in units of the cell vectors:
Tl  0.5000  0.5000  0.0000  4 Tl 3.24, 4 In 3.29, 4 Mn 3.29
Tl  0.0000  0.0000  0.0000  4 Tl 3.24, 4 Mn 3.29, 4 In 3.29
Mn  0.7500  0.2500  0.5000  4 In 3.24, 8 Tl 3.29
In  0.2500  0.7500  0.5000  4 Mn 3.24, 8 Tl 3.29

***

2 | # MnTl2In

An optimized crystal structure of MnTl2In (GGA-PBE, Alexandria).

Calculated values
**Crystal system**: monoclinic

Lattice parameters (Å, degrees): 4.2518 3.3500 7.4457 76.04 90.00 90.00
Closest atoms and distances in Å follow each position.
Sites, in units of the cell vectors:
Mn  0.5000  0.9677  0.6841  4 In 2.83, 3 Tl 3.02-3.03
Tl  0.0000  0.8263  0.9806  2 Mn 3.02, 2 Tl 3.35, 1 In 3.37
Tl  0.5000  0.1777  0.2643  1 Mn 3.03, 4 Tl 3.35-3.39
In  0.0000  0.5283  0.5711  4 Mn 2.83

***

3 | # MnTl2In

An optimized crystal structure of MnTl2In (GGA-PBE, Alexandria).

Calculated values
**Crystal system**: trigonal

Lattice parameters (Å, degrees): 10.1528 10.1528 10.1528 19.18 19.18 19.18
Closest atoms and distances in Å follow each position.
Sites, in units of the cell vectors:
Tl  0.0083  0.0083  0.0083  3 Mn 2.97
Tl  0.4917  0.4917  0.4917  3 Mn 2.97
In  0.2500  0.2500  0.2500  6 Tl 3.36, 6 In 3.38
Mn  0.7500  0.7500  0.7500  6 Tl 2.97

***

Result of the stability comparison: 1 is the least stable of them.

***

1 | # MnTl2In

An optimized crystal structure of MnTl2In (GGA-PBE, Alexandria).

Calculated values
**Crystal system**: cubic

Lattice parameters (Å, degrees): 5.2763 5.2763 5.2763 60.00 60.00 60.00
Closest atoms and distances in Å follow each position.
Sites, in units of the cell vectors:
Tl  0.0000  0.0000  0.0000  4 Mn 3.23, 4 Tl 3.23
Tl  0.2500  0.2500  0.2500  4 Tl 3.23, 4 In 3.23
Mn  0.7500  0.7500  0.7500  4 Tl 3.23, 4 In 3.23
In  0.5000  0.5000  0.5000  4 Tl 3.23, 4 Mn 3.23

***

2 | # MnTl2In

An optimized crystal structure of MnTl2In (GGA-PBE, Alexandria).

Calculated values
**Crystal system**: monoclinic

Lattice parameters (Å, degrees): 7.6257 7.6257 4.6600 72.36 72.36 23.80
Closest atoms and distances in Å follow each position.
Sites, in units of the cell vectors:
Mn  0.7500  0.7500  0.7500  4 In 2.81, 4 Tl 3.02, 2 Mn 3.15
In  0.2500  0.2500  0.2500  4 Mn 2.81, 2 In 3.15
Tl  0.0684  0.0684  0.9321  2 Mn 3.02, 2 Tl 3.15
Tl  0.4316  0.4316  0.5679  2 Mn 3.02, 2 Tl 3.15

***

Result of the stability comparison: 1 is the least stable of them.